The following is a PBE-GGA calculation of a relaxed LaSc2Re crystal, from Alexandria.

Cell lengths 3.1273, 3.1273, 10.3508 Å; angles 90.00, 90.00, 112.61 degrees
Closest atoms and distances in Å follow each position.
Atoms (fractional coordinates):
Re: 0.5000 0.5000 0.7658  2 Sc 2.67, 2 La 2.88
Sc: 0.0000 0.0000 0.9620  2 Re 2.67
Sc: 0.5000 0.5000 0.2281  8 Sc 3.13-3.47
La: 0.0000 0.0000 0.5441  2 Re 2.88, 4 La 3.13

Properties
For the polymorph energy (0 for the lowest one), the calculation gives 287.8 meV/atom.

***

The following is a PBE-GGA calculation of a relaxed La2ScRe crystal, from Alexandria.

Cell lengths 3.6034, 3.6034, 8.0764 Å; angles 90.00, 90.00, 90.00 degrees
Closest atoms and distances in Å follow each position.
Atoms (fractional coordinates):
La: 0.0000 0.0000 0.4642  4 Re 3.08, 4 Sc 3.44
Sc: 0.5000 0.5000 0.7500  8 La 3.44, 4 Sc 3.60
Re: 0.5000 0.5000 0.2500  8 La 3.08
La: 0.0000 0.0000 0.0358  4 Re 3.08, 4 Sc 3.44

Properties
For the polymorph energy (0 for the lowest one), the calculation gives 147.1 meV/atom.

***

The following is a PBE-GGA calculation of a relaxed La2ScRe crystal, from Alexandria.

Cell lengths 6.4794, 6.4794, 6.4794 Å; angles 147.74, 130.90, 59.98 degrees
Closest atoms and distances in Å follow each position.
Atoms (fractional coordinates):
La: 0.0017 0.0017 0.0000  4 Re 3.24, 2 Sc 3.45, 4 La 3.49-3.60
Sc: 0.3100 0.8100 0.5000  2 Re 2.70
La: 0.6990 0.1990 0.5000  2 Re 2.96
Re: 0.4892 0.4892 0.0000  2 Sc 2.70, 2 La 2.96

Properties
For the polymorph energy (0 for the lowest one), the calculation gives 34.3 meV/atom.

***

The following is a PBE-GGA calculation of a relaxed LaSc2Re crystal, from Alexandria.

Cell lengths 4.9933, 4.9933, 4.9933 Å; angles 120.10, 120.10, 89.82 degrees
Closest atoms and distances in Å follow each position.
Atoms (fractional coordinates):
La: 0.5000 0.5000 0.0000  4 Sc 3.06, 4 Re 3.06
Re: 0.7500 0.2500 0.5000  4 La 3.06, 4 Sc 3.06
Sc: 0.0000 0.0000 0.0000  4 Re 3.06, 4 Sc 3.06
Sc: 0.2500 0.7500 0.5000  4 Sc 3.06, 4 La 3.06

Properties
For the polymorph energy (0 for the lowest one), the calculation gives 211.9 meV/atom.

***

The following is a PBE-GGA calculation of a relaxed LaScRe2 crystal, from Alexandria.

Cell lengths 7.8053, 7.8053, 6.1630 Å; angles 50.71, 50.71, 90.00 degrees
Closest atoms and distances in Å follow each position.
Atoms (fractional coordinates):
Re: 0.3750 0.3958 0.7500  2 Sc 2.73, 2 Re 2.76, 2 La 2.96
La: 0.7500 0.2500 0.5000  2 Sc 2.74, 4 Re 2.96
La: 0.0000 0.0000 0.0000  2 Sc 2.74, 4 Re 2.96
Sc: 0.2500 0.7500 0.5000  4 Re 2.73, 2 La 2.74
Re: 0.6042 0.1250 0.2500  2 Sc 2.73, 2 Re 2.76, 2 La 2.96
Re: 0.8750 0.8542 0.7500  2 Sc 2.73, 2 Re 2.76, 2 La 2.96
Sc: 0.5000 0.5000 0.0000  4 Re 2.73, 2 La 2.74
Re: 0.1458 0.6250 0.2500  2 Sc 2.73, 2 Re 2.76, 2 La 2.96

Properties
For the polymorph energy (0 for the lowest one), the calculation gives 855.9 meV/atom.

***

The following is a PBE-GGA calculation of a relaxed LaSc2Re crystal, from Alexandria.

Cell lengths 4.9940, 4.9940, 3.5733 Å; angles 90.00, 90.00, 104.07 degrees
Closest atoms and distances in Å follow each position.
Atoms (fractional coordinates):
Sc: 0.0000 0.0000 0.0000  4 La 3.07, 4 Re 3.07, 2 Sc 3.07
Re: 0.0000 0.5000 0.5000  8 Sc 3.07, 2 La 3.07
La: 0.5000 0.0000 0.5000  8 Sc 3.07, 2 Re 3.07
Sc: 0.5000 0.5000 0.0000  4 Re 3.07, 4 La 3.07, 2 Sc 3.07

Properties
For the polymorph energy (0 for the lowest one), the calculation gives 308.4 meV/atom.

***

The following is a PBE-GGA calculation of a relaxed LaSc2Re crystal, from Alexandria.

Cell lengths 6.0632, 6.0632, 6.0632 Å; angles 146.30, 130.50, 61.23 degrees
Closest atoms and distances in Å follow each position.
Atoms (fractional coordinates):
Re: 0.2428 0.7428 0.5000  2 Sc 2.67, 2 La 2.86
Sc: 0.0501 0.0501 0.0000  2 Re 2.67
La: 0.4588 0.4588 0.0000  2 Re 2.86
Sc: 0.7483 0.2483 0.5000  4 Re 3.09, 2 Sc 3.27, 2 La 3.36

Properties
For the polymorph energy (0 for the lowest one), the calculation gives 156.4 meV/atom.

***

The following is a PBE-GGA calculation of a relaxed LaScRe2 crystal, from Alexandria.

Cell lengths 2.9813, 4.4574, 6.4894 Å; angles 90.00, 90.00, 90.00 degrees
Closest atoms and distances in Å follow each position.
Atoms (fractional coordinates):
Re: 0.0000 0.0000 0.4292  1 Re 2.33
Sc: 0.5000 0.5000 0.2500  8 Re 2.92, 2 Sc 2.98, 2 La 3.24
Re: 0.0000 0.0000 0.0708  1 Re 2.33
La: 0.5000 0.5000 0.7500  2 La 2.98, 2 Sc 3.24

Properties
For the polymorph energy (0 for the lowest one), the calculation gives 322.8 meV/atom.

***

The following is a PBE-GGA calculation of a relaxed La2ScRe crystal, from Alexandria.

Cell lengths 6.1326, 5.6770, 3.2031 Å; angles 85.84, 76.84, 116.35 degrees
Closest atoms and distances in Å follow each position.
Atoms (fractional coordinates):
Re: 0.5000 0.5000 0.0000  4 La 3.12, 4 Sc 3.16-3.36, 2 Re 3.20
La: 0.0000 0.0000 0.0000  2 Re 3.12, 2 Sc 3.12, 6 La 3.16-3.36
La: 0.0000 0.5000 0.5000  2 Sc 3.12, 2 Re 3.12, 6 La 3.16-3.36
Sc: 0.5000 0.0000 0.5000  4 La 3.12, 4 Re 3.16-3.36, 2 Sc 3.20

Properties
For the polymorph energy (0 for the lowest one), the calculation gives 343.8 meV/atom.

***

The following is a PBE-GGA calculation of a relaxed La2ScRe crystal, from Alexandria.

Cell lengths 9.8308, 9.8308, 7.4488 Å; angles 48.71, 48.71, 90.00 degrees
Closest atoms and distances in Å follow each position.
Atoms (fractional coordinates):
Sc: 0.2500 0.7500 0.5000  2 Re 2.68
La: 0.7507 0.1250 0.2500  2 Re 2.82
La: 0.9993 0.6250 0.2500  2 Re 2.82
Re: 0.0000 0.0000 0.0000  2 Sc 2.68, 4 La 2.82
La: 0.3750 0.2493 0.7500  2 Re 2.82
Re: 0.7500 0.2500 0.5000  2 Sc 2.68, 4 La 2.82
Sc: 0.5000 0.5000 0.0000  2 Re 2.68
La: 0.8750 0.0007 0.7500  2 Re 2.82

Properties
For the polymorph energy (0 for the lowest one), the calculation gives 275.0 meV/atom.

***

The following is a PBE-GGA calculation of a relaxed LaScRe2 crystal, from Alexandria.

Cell lengths 9.8888, 9.8888, 9.8888 Å; angles 17.62, 17.62, 17.62 degrees
Closest atoms and distances in Å follow each position.
Atoms (fractional coordinates):
Sc: 0.2500 0.2500 0.2500  6 Re 2.81, 6 Sc 3.03
Re: 0.5079 0.5079 0.5079  3 Sc 2.81, 6 Re 3.03
La: 0.7500 0.7500 0.7500  6 La 3.03, 6 Re 3.19
Re: 0.9921 0.9921 0.9921  3 Sc 2.81, 6 Re 3.03

Properties
For the polymorph energy (0 for the lowest one), the calculation gives 597.7 meV/atom.

***

The following is a PBE-GGA calculation of a relaxed La2ScRe crystal, from Alexandria.

Cell lengths 10.0891, 10.0891, 10.0891 Å; angles 20.03, 20.03, 20.03 degrees
Closest atoms and distances in Å follow each position.
Atoms (fractional coordinates):
Re: 0.2500 0.2500 0.2500  6 La 2.97
La: 0.9899 0.9899 0.9899  3 Re 2.97
La: 0.5101 0.5101 0.5101  3 Re 2.97
Sc: 0.7500 0.7500 0.7500  6 La 3.43, 6 Sc 3.51

Properties
For the polymorph energy (0 for the lowest one), the calculation gives 327.4 meV/atom.

***

The following is a PBE-GGA calculation of a relaxed LaScRe2 crystal, from Alexandria.

Cell lengths 4.1193, 3.0488, 7.3165 Å; angles 73.93, 90.00, 90.00 degrees
Closest atoms and distances in Å follow each position.
Atoms (fractional coordinates):
Re: 0.5000 0.2263 0.2093  2 Re 2.47
La: 0.5000 0.7893 0.7918  2 La 3.05, 5 Re 3.06-3.39
Sc: 0.0000 0.4841 0.4261  3 Re 2.63-2.84
Re: 0.0000 0.0003 0.0727  2 Re 2.47, 1 Sc 2.63

Properties
For the polymorph energy (0 for the lowest one), the calculation gives 227.4 meV/atom.

***

The following is a PBE-GGA calculation of a relaxed LaScRe2 crystal, from Alexandria.

Cell lengths 5.5266, 5.5266, 2.9600 Å; angles 78.01, 78.01, 115.62 degrees
Closest atoms and distances in Å follow each position.
Atoms (fractional coordinates):
Re: 0.0000 0.0000 0.0000  2 La 2.85, 2 Sc 2.85, 4 Re 2.94-2.96
La: 0.0000 0.5000 0.5000  4 Re 2.85, 2 Sc 2.94, 2 La 2.96
Re: 0.5000 0.5000 0.0000  2 Sc 2.85, 2 La 2.85, 4 Re 2.94-2.96
Sc: 0.5000 0.0000 0.5000  4 Re 2.85, 2 La 2.94, 2 Sc 2.96

Properties
For the polymorph energy (0 for the lowest one), the calculation gives 433.9 meV/atom.

***

The following is a PBE-GGA calculation of a relaxed LaScRe2 crystal, from Alexandria.

Cell lengths 3.6269, 3.6269, 6.6527 Å; angles 90.00, 90.00, 90.00 degrees
Closest atoms and distances in Å follow each position.
Atoms (fractional coordinates):
Re: 0.0000 0.0000 0.0700  1 Re 2.39
Re: 0.0000 0.0000 0.4300  1 Re 2.39
La: 0.5000 0.5000 0.7500  2 Sc 3.33, 8 Re 3.33, 4 La 3.63
Sc: 0.5000 0.5000 0.2500  8 Re 2.83

Properties
For the polymorph energy (0 for the lowest one), the calculation gives 365.8 meV/atom.